## Mg3MnO4 (GGA+U)

Data for a relaxed structure of Mg3MnO4.

The space group is I4/mmm (No. 139) and the conventional cell measures 4.329, 4.329 and 8.662 Å, with angles of 90.00, 90.00 and 90.00 degrees. Symmetry generates all atoms from Mg at (0.000, 0.000, 0.000), Mg at (0.000, 0.500, 0.250), Mn at (0.000, 0.000, 0.500), O at (0.000, 0.000, 0.241) and O at (0.000, 0.500, 0.000).

Its total magnetization is 5.0 μB per formula unit. Its volume is 10.14 Å³ per atom. For the uncorrected energy, the calculation gives -6.427 eV per atom.